Entry 1:
Material: ZnHgPS2
Method: DFT, SCAN
State: single point on PBEsol structure

Properties
Total DFT energy (no corrections) (eV per cell): -107.58
Volume (Å³/cell): 99.1
DOS(E_F) (states/eV/f.u.): 5.72

a = 4.5503 Å, b = 4.5503 Å, c = 4.7878 Å
α = 90.00°, β = 90.00°, γ = 90.00°
Last column: nearest neighbours and their distance in Å.
Space group P4/mmm (No. 123)
Unique sites:
Zn1 0.0000 0.0000 0.0000 [1 per cell]  4 S 2.28, 2 P 2.39
Hg1 0.5000 0.5000 0.5000 [1 per cell]  4 P 3.22, 8 S 3.30
P1 0.0000 0.0000 0.5000 [1 per cell]  2 Zn 2.39
S1 0.0000 0.5000 0.0000 [2 per cell]  2 Zn 2.28

Entry 2:
Material: ZrHgPS2
Method: DFT, SCAN
State: single point on PBEsol structure

Properties
Total DFT energy (no corrections) (eV per cell): -129.68
Volume (Å³/cell): 122.0
DOS(E_F) (states/eV/f.u.): 4.54

a = 4.8529 Å, b = 4.8529 Å, c = 5.1787 Å
α = 90.00°, β = 90.00°, γ = 90.00°
Last column: nearest neighbours and their distance in Å.
Space group P4/mmm (No. 123)
Unique sites:
Zr1 0.0000 0.0000 0.0000 [1 per cell]  4 S 2.43, 2 P 2.59
Hg1 0.5000 0.5000 0.5000 [1 per cell]  4 P 3.43, 8 S 3.55
P1 0.0000 0.0000 0.5000 [1 per cell]  2 Zr 2.59
S1 0.0000 0.5000 0.0000 [2 per cell]  2 Zr 2.43

Entry 3:
Material: HgSb2P
Method: DFT, SCAN
State: single point on PBEsol structure

Properties
ΔE to the lowest computed polymorph (eV per formula unit): 1.20
Total DFT energy (no corrections) (eV per cell): -604.48
Volume (Å³/cell): 354.2
DOS(E_F) (states/eV/f.u.): 2.32

a = 7.0754 Å, b = 7.0754 Å, c = 7.0754 Å
α = 90.00°, β = 90.00°, γ = 90.00°
Last column: nearest neighbours and their distance in Å.
Space group Fm-3m (No. 225)
Unique sites:
Hg1 0.0000 0.0000 0.0000 [4 per cell]  8 Sb 3.06
Sb1 0.2500 0.2500 0.2500 [8 per cell]  4 Hg 3.06, 4 P 3.06
P1 0.0000 0.0000 0.5000 [4 per cell]  8 Sb 3.06

Entry 4:
Material: HgSb2P
Method: DFT, SCAN
State: single point on PBEsol structure

Properties
ΔE to the lowest computed polymorph (eV per formula unit): 0.14
Total DFT energy (no corrections) (eV per cell): -152.18
Volume (Å³/cell): 96.3
DOS(E_F) (states/eV/f.u.): 1.68

a = 5.7388 Å, b = 5.7388 Å, c = 2.9227 Å
α = 90.00°, β = 90.00°, γ = 90.00°
Last column: nearest neighbours and their distance in Å.
Space group P4/mmm (No. 123)
Unique sites:
Hg1 0.0000 0.0000 0.0000 [1 per cell]  4 Sb 2.87, 2 Hg 2.92
Sb1 0.0000 0.5000 0.0000 [2 per cell]  2 Hg 2.87, 2 P 2.87, 2 Sb 2.92
P1 0.5000 0.5000 0.0000 [1 per cell]  4 Sb 2.87, 2 P 2.92

Computed values of formation energy from raw total energies (unit: eV per atom) for the preceding records, in sequence: 0.752; -0.232; 0.491; 0.227.